The following is a DFT calculation (PBE-GGA) of BaAlCr2Ge after structural relaxation.

Cell: 4.9394 6.0899 4.9394 Å, 90.00 90.00 90.00°
Last column: magnetic moment on the atom in μB.
Fractional coordinates of all 5 atoms:
Cr 0.0000 0.0000 0.5000  3.74
Cr 0.5000 0.0000 0.0000  3.46
Al 0.0000 0.0000 0.0000  -0.09
Ba 0.0000 0.5000 0.0000  -0.13
Ge 0.5000 0.5000 0.5000  -0.40

Computed properties:
magnetization = 6.75 μB/f.u.
calculated total energy = -24.564 eV for the cell shown
DFT formation energy = 5.0 eV/f.u.
space-group type = P4/mmm
Fermi-level density of states = 4.9 states/eV/cell

=====

The following is a DFT calculation (PBE-GGA) of BaAl2CrIr after structural relaxation.

Cell: 4.8124 5.6670 4.8124 Å, 90.00 90.00 90.00°
Last column: magnetic moment on the atom in μB.
Fractional coordinates of all 5 atoms:
Ba 0.0000 0.5000 0.0000  0.07
Ir 0.5000 0.5000 0.5000  1.17
Al 0.5000 0.0000 0.0000  -0.01
Al 0.0000 0.0000 0.5000  0.02
Cr 0.0000 0.0000 0.0000  3.20

Computed properties:
magnetization = 4.87 μB/f.u.
calculated total energy = -22.620 eV for the cell shown
DFT formation energy = 5.3 eV/f.u.
space-group type = P4/mmm
Fermi-level density of states = 3.5 states/eV/cell

=====

The following is a DFT calculation (PBE-GGA) of BaAlCrMo2 after structural relaxation.

Cell: 4.5911 5.5282 4.5911 Å, 90.00 90.00 90.00°
Fractional coordinates of all 5 atoms:
Al 0.5000 0.5000 0.5000
Mo 0.0000 0.0000 0.5000
Mo 0.5000 0.0000 0.0000
Cr 0.0000 0.0000 0.0000
Ba 0.0000 0.5000 0.0000

Computed properties:
magnetization = 0.00 μB/f.u.
calculated total energy = -29.909 eV for the cell shown
DFT formation energy = 7.0 eV/f.u.
space-group type = P4/mmm
Fermi-level density of states = 7.2 states/eV/cell

=====

Question: Fermi-level density of states of number 3 (BaAlCrMo2)?
Answer: 7.2 states/eV/cell

=====

Question: What is the Fermi-level density of states in the first record?
Answer: 4.9 states/eV/cell

=====

Question: What is the formula in the first record?
Answer: BaAlCr2Ge